1.
First-principles (PBE) data for crystalline Ba3Cd6Ag5 at its relaxed geometry, as listed in Alexandria.

## Properties
Magnetic moment ... 0.00 μB per formula unit
ΔH_f (0 K) ... -0.2505 eV per atom
Mass density ... 7.16 g/cm3

a = 4.8849 Å, b = 14.6702 Å, c = 10.5219 Å
α = 90.00°, β = 90.00°, γ = 90.00°
With the nearest neighbours (Å) after each atom.
Element x y z (fractional)
Ba (0.2500, 0.0545, 0.2446)  6 Ag 3.45-3.77, 8 Cd 3.51-3.68
Ba (0.2500, 0.4455, 0.2446)  6 Ag 3.45-3.77, 8 Cd 3.51-3.68
Ba (0.2500, 0.7500, 0.2677)  6 Ag 3.42-3.69, 2 Cd 3.64
Ba (0.7500, 0.2500, 0.7323)  6 Ag 3.42-3.69, 2 Cd 3.64
Ba (0.7500, 0.5545, 0.7554)  6 Ag 3.45-3.77, 8 Cd 3.51-3.68
Ba (0.7500, 0.9455, 0.7554)  6 Ag 3.45-3.77, 8 Cd 3.51-3.68
Cd (0.2500, 0.0731, 0.5898)  4 Ag 2.96-3.04, 1 Cd 3.04
Cd (0.2500, 0.2500, 0.0380)  4 Ag 2.94-3.16, 4 Cd 3.19
Cd (0.2500, 0.2500, 0.4386)  6 Ag 3.00-3.30, 2 Cd 3.04
Cd (0.2500, 0.4269, 0.5898)  4 Ag 2.96-3.04, 1 Cd 3.04
Cd (0.2500, 0.6108, 0.9813)  4 Ag 2.92-3.17, 2 Cd 3.19
Cd (0.2500, 0.8892, 0.9813)  4 Ag 2.92-3.17, 2 Cd 3.19
Cd (0.7500, 0.1108, 0.0187)  4 Ag 2.92-3.17, 2 Cd 3.19
Cd (0.7500, 0.3892, 0.0187)  4 Ag 2.92-3.17, 2 Cd 3.19
Cd (0.7500, 0.5731, 0.4102)  4 Ag 2.96-3.04, 1 Cd 3.04
Cd (0.7500, 0.7500, 0.5614)  6 Ag 3.00-3.30, 2 Cd 3.04
Cd (0.7500, 0.7500, 0.9620)  4 Ag 2.94-3.16, 4 Cd 3.19
Cd (0.7500, 0.9269, 0.4102)  4 Ag 2.96-3.04, 1 Cd 3.04
Ag (0.2500, 0.0900, 0.8702)  5 Cd 2.92-3.17
Ag (0.2500, 0.4100, 0.8702)  5 Cd 2.92-3.17
Ag (0.2500, 0.6321, 0.5477)  1 Ag 2.93, 5 Cd 2.97-3.04
Ag (0.2500, 0.7500, 0.7721)  2 Ag 2.93, 4 Cd 3.00-3.16
Ag (0.2500, 0.8679, 0.5477)  1 Ag 2.93, 5 Cd 2.97-3.04
Ag (0.7500, 0.1321, 0.4523)  1 Ag 2.93, 5 Cd 2.97-3.04
Ag (0.7500, 0.2500, 0.2279)  2 Ag 2.93, 4 Cd 3.00-3.16
Ag (0.7500, 0.3679, 0.4523)  1 Ag 2.93, 5 Cd 2.97-3.04
Ag (0.7500, 0.5900, 0.1298)  5 Cd 2.92-3.17
Ag (0.7500, 0.9100, 0.1298)  5 Cd 2.92-3.17

2.
First-principles (PBE) data for crystalline CrSiPb2 at its relaxed geometry, as listed in Alexandria.

## Properties
Magnetic moment ... 4.10 μB per formula unit
ΔE_f (raw) ... 600 meV per atom
Mass density ... 8.75 g/cm3

a = 4.4781 Å, b = 4.4781 Å, c = 9.3574 Å
α = 90.00°, β = 90.00°, γ = 90.00°
With the nearest neighbours (Å) after each atom.
Element x y z (fractional)
Cr (0.0000, 0.0000, 0.0000)  8 Pb 3.17-3.24, 4 Si 3.24
Cr (0.5000, 0.5000, 0.5000)  8 Pb 3.17-3.24, 4 Si 3.24
Si (0.0000, 0.5000, 0.7500)  8 Pb 3.17-3.24, 4 Cr 3.24
Si (0.5000, 0.0000, 0.2500)  8 Pb 3.17-3.24, 4 Cr 3.24
Pb (0.0000, 0.0000, 0.5000)  4 Cr 3.17, 4 Pb 3.24, 4 Si 3.24
Pb (0.0000, 0.5000, 0.2500)  4 Si 3.17, 4 Cr 3.24, 4 Pb 3.24
Pb (0.5000, 0.0000, 0.7500)  4 Si 3.17, 4 Cr 3.24, 4 Pb 3.24
Pb (0.5000, 0.5000, 0.0000)  4 Cr 3.17, 4 Pb 3.24, 4 Si 3.24

3.
First-principles (PBE) data for crystalline Rb3Ag2I2Br4 at its relaxed geometry, as listed in Alexandria.

## Properties
Magnetic moment ... 0.00 μB per formula unit
ΔE_f (raw) ... -1025 meV per atom
Mass density ... 4.11 g/cm3

a = 15.2337 Å, b = 15.2337 Å, c = 15.2337 Å
α = 159.78°, β = 159.78°, γ = 28.75°
With the nearest neighbours (Å) after each atom.
Element x y z (fractional)
Rb (0.0000, 0.0000, 0.0000)  8 Br 3.55
Rb (0.1736, 0.1736, 0.0000)  5 I 3.81-3.85, 4 Br 3.86
Rb (0.8264, 0.8264, 0.0000)  5 I 3.81-3.85, 4 Br 3.86
Ag (0.4012, 0.4012, 0.0000)  4 Br 2.74, 1 I 2.90
Ag (0.5988, 0.5988, 0.0000)  4 Br 2.74, 1 I 2.90
I (0.3029, 0.3029, 0.0000)  1 Ag 2.90
I (0.6971, 0.6971, 0.0000)  1 Ag 2.90
Br (0.0793, 0.5793, 0.5000)  2 Ag 2.74
Br (0.4207, 0.9207, 0.5000)  2 Ag 2.74
Br (0.5793, 0.0793, 0.5000)  2 Ag 2.74
Br (0.9207, 0.4207, 0.5000)  2 Ag 2.74

Number 1: calculated total energy -2.073 eV per atom. Number 2: calculated total energy -5.016 eV per atom. Number 3: calculated total energy -2.697 eV per atom.